DFT (PBE-GGA) results for Na8SO2 after structural relaxation.

Formation energy without anion corrections: -851 meV/atom
Spin magnetization: 0.00 Bohr magnetons per cell
Total DFT energy (no corrections): -3.087 eV per atom

Structure (CIF):
```
data_Na8SO2
_chemical_formula_sum 'Na16 S2 O4'
_cell_length_a 14.540
_cell_length_b 4.037
_cell_length_c 8.512
_cell_angle_alpha 90.00
_cell_angle_beta 105.47
_cell_angle_gamma 90.00
_space_group_name_H-M_alt 'C 1 2/m 1'
_space_group_IT_number 12
loop_
_space_group_symop_operation_xyz
'x,y,z'
'-x,-y,-z'
'-x,y,-z'
'x,-y,z'
'x+1/2,y+1/2,z'
'-x+1/2,-y+1/2,-z'
'-x+1/2,y+1/2,-z'
'x+1/2,-y+1/2,z'
loop_
_atom_site_label
_atom_site_type_symbol
_atom_site_fract_x
_atom_site_fract_y
_atom_site_fract_z
Na1 Na 0.069 0.000 0.208
Na2 Na 0.097 0.500 0.693
Na3 Na 0.197 0.000 0.541
Na4 Na 0.213 0.500 0.132
S1 S 0.000 0.000 0.500
O1 O 0.239 0.000 0.295
```

DFT (PBE-GGA) results for K2HgSbAu after structural relaxation.

Formation energy without anion corrections: -232 meV/atom
Spin magnetization: 0.00 Bohr magnetons per cell
Total DFT energy (no corrections): -2.212 eV per atom

Structure (CIF):
```
data_K2HgSbAu
_chemical_formula_sum 'K2 Hg1 Sb1 Au1'
_cell_length_a 6.431
_cell_length_b 6.431
_cell_length_c 5.206
_cell_angle_alpha 90.00
_cell_angle_beta 90.00
_cell_angle_gamma 90.00
_space_group_name_H-M_alt 'P 4/m m m'
_space_group_IT_number 123
_space_group_name_Hall '-P 4 2'
loop_
_atom_site_label
_atom_site_type_symbol
_atom_site_fract_x
_atom_site_fract_y
_atom_site_fract_z
K1 K 0.000 0.500 0.000
Hg1 Hg 0.000 0.000 0.500
Sb1 Sb 0.500 0.500 0.500
Au1 Au 0.500 0.500 0.000
```

DFT (PBE-GGA) results for Sc3TiPt4 after structural relaxation.

Spin magnetization: 0.00 Bohr magnetons per cell
Total DFT energy (no corrections): -7.494 eV per atom

Structure (CIF):
```
data_Sc3TiPt4
_chemical_formula_sum 'Sc6 Ti2 Pt8'
_cell_length_a 4.635
_cell_length_b 4.635
_cell_length_c 13.043
_cell_angle_alpha 90.00
_cell_angle_beta 90.00
_cell_angle_gamma 90.00
_space_group_name_H-M_alt 'I 4/m m m'
_space_group_IT_number 139
_space_group_name_Hall '-I 4 2'
loop_
_atom_site_label
_atom_site_type_symbol
_atom_site_fract_x
_atom_site_fract_y
_atom_site_fract_z
Sc1 Sc 0.000 0.000 0.000
Sc2 Sc 0.000 0.000 0.251
Ti1 Ti 0.000 0.000 0.500
Pt1 Pt 0.000 0.500 0.119
```

DFT (PBE-GGA) results for TbPPt4 after structural relaxation.

Spin magnetization: 0.00 Bohr magnetons per cell
Total DFT energy (no corrections): -6.507 eV per atom

Structure (CIF):
```
data_TbPPt4
_chemical_formula_sum 'Tb4 P4 Pt16'
_cell_length_a 3.958
_cell_length_b 15.340
_cell_length_c 6.762
_cell_angle_alpha 90.00
_cell_angle_beta 90.00
_cell_angle_gamma 90.00
_space_group_name_H-M_alt 'C m c m'
_space_group_IT_number 63
_space_group_name_Hall '-C 2c 2'
loop_
_atom_site_label
_atom_site_type_symbol
_atom_site_fract_x
_atom_site_fract_y
_atom_site_fract_z
Tb1 Tb 0.000 0.103 0.250
P1 P 0.000 0.240 0.750
Pt1 Pt 0.000 0.083 0.750
Pt2 Pt 0.000 0.317 0.040
Pt3 Pt 0.000 0.500 0.000
```

Question: Which of these has the highest total DFT energy (no corrections)?
Answer: K2HgSbAu